1.
InW3: optimized geometry, GGA-PBE.

a = 9.2020 Å, b = 9.2020 Å, c = 2.7944 Å
α = 90.00°, β = 90.00°, γ = 120.00°
Space group R-3m (No. 166, hexagonal axes)
Symmetry-distinct sites (fractional):
In1 0.0000 0.0000 0.0000 (multiplicity 3)
W1 0.0000 0.5000 0.0000 (multiplicity 9)

Calculated values
* spin magnetization: 0.000 μB/atom
* DFT total energy: -9.898 eV per atom
* density of states at the Fermi level: 6.18 states/eV per cell
* DFT formation energy: 0.502 eV/atom

2.
BiBSeN2: optimized geometry, GGA-PBE.

a = 3.921 Å, b = 3.921 Å, c = 4.266 Å
α = 90.00°, β = 90.00°, γ = 90.00°
Space group P4/mmm (No. 123)
Symmetry-distinct sites (fractional):
Bi1 0.000 0.000 0.000 (multiplicity 1)
B1 0.500 0.500 0.500 (multiplicity 1)
Se1 0.500 0.500 0.000 (multiplicity 1)
N1 0.000 0.500 0.500 (multiplicity 2)

Calculated values
* spin magnetization: 0.134 μB/atom
* raw formation energy: 145.3 kJ per mole of atoms
* DFT total energy: -4.633 eV per atom
* density of states at the Fermi level: 1.78 states/eV per cell

3.
HfZrSn: optimized geometry, GGA-PBE.

a = 3.706 Å, b = 3.706 Å, c = 9.730 Å
α = 90.00°, β = 90.00°, γ = 90.00°
Space group I4mm (No. 107)
Symmetry-distinct sites (fractional):
Hf1 0.000 0.000 0.000 (multiplicity 2)
Zr1 0.000 0.000 0.672 (multiplicity 2)
Sn1 0.000 0.000 0.337 (multiplicity 2)

Calculated values
* spin magnetization: 0.000 μB/atom
* DFT total energy: -7.863 eV per atom
* density of states at the Fermi level: 2.59 states/eV per cell
* DFT formation energy: -0.362 eV/atom

> What is the spin magnetization in the first record?

0.000 μB/atom